Record 1
The following is a DFT calculation (PBE) of an optimized crystal structure of Ho5ZnCo2.

## Properties
* size of the total moment: 0.0 μB per formula unit
* DFT formation energy: -0.2291 eV per atom
* volume: 183 Å³/f.u.

Cell: 7.5370 7.5370 8.3625 Å, 116.78 116.78 90.00°
With the nearest neighbours (Å) after each atom.
Atoms (fractional coordinates):
1 Ho 0.0000 0.0000 0.0000  4 Co 2.94, 2 Zn 3.22
2 Ho 0.5258 0.7023 0.7281  3 Co 2.79-2.84
3 Ho 0.2023 0.0258 0.7281  3 Co 2.79-2.84
4 Ho 0.7023 0.2023 0.7281  3 Co 2.79-2.84
5 Ho 0.4742 0.2977 0.2719  3 Co 2.79-2.84
6 Ho 0.5000 0.5000 0.0000  4 Co 2.94, 2 Zn 3.22
7 Ho 0.0258 0.5258 0.7281  3 Co 2.79-2.84
8 Ho 0.7977 0.9742 0.2719  3 Co 2.79-2.84
9 Ho 0.9742 0.4742 0.2719  3 Co 2.79-2.84
10 Ho 0.2977 0.7977 0.2719  3 Co 2.79-2.84
11 Co 0.8659 0.6341 0.0000  8 Ho 2.79-2.94, 1 Co 2.86
12 Co 0.6341 0.1341 0.0000  8 Ho 2.79-2.94, 1 Co 2.86
13 Co 0.3659 0.8659 0.0000  8 Ho 2.79-2.94, 1 Co 2.86
14 Co 0.1341 0.3659 0.0000  8 Ho 2.79-2.94, 1 Co 2.86
15 Zn 0.2500 0.2500 0.5000  10 Ho 3.19-3.22
16 Zn 0.7500 0.7500 0.5000  10 Ho 3.19-3.22

=====

Record 2
The following is a DFT calculation (PBE) of an optimized crystal structure of Ho2ZnCo2.

## Properties
* size of the total moment: 0.0 μB per formula unit
* DFT formation energy: -0.3023 eV per atom
* volume: 91 Å³/f.u.

Cell: 5.2698 5.4084 7.5245 Å, 102.80 90.00 119.16°
With the nearest neighbours (Å) after each atom.
Atoms (fractional coordinates):
1 Ho 0.4932 0.2904 0.1450  6 Co 2.83-2.99, 2 Zn 3.09-3.15
2 Ho 0.2028 0.7096 0.3550  6 Co 2.83-2.99, 2 Zn 3.09-3.15
3 Ho 0.7972 0.2904 0.6450  6 Co 2.83-2.99, 2 Zn 3.09-3.15
4 Ho 0.5068 0.7096 0.8550  6 Co 2.83-2.99, 2 Zn 3.09-3.15
5 Co 0.0058 0.7091 0.9923  1 Co 2.26
6 Co 0.7032 0.7091 0.4923  1 Co 2.26
7 Co 0.9942 0.2909 0.0077  1 Co 2.26
8 Co 0.2968 0.2909 0.5077  1 Co 2.26
9 Zn 0.1347 0.0000 0.7500  4 Co 2.55-2.56
10 Zn 0.8653 0.0000 0.2500  4 Co 2.55-2.56